No. 1
! Rb3BeHg | the Alexandria database | GGA-PBEsol | relaxed; values from VASP
&SYSTEM
  ibrav = 0, nat = 5, ntyp = 3
/
ATOMIC_SPECIES
Be 9.01 Be.upf
Hg 200.59 Hg.upf
Rb 85.47 Rb.upf
ATOMIC_POSITIONS crystal
Be 0.500 0.500 0.500
Hg 0.000 0.000 0.000
Rb 0.000 0.500 0.000
Rb 0.000 0.000 0.500
Rb 0.500 0.000 0.000
CELL_PARAMETERS angstrom
-1.215 6.549 0.282
-4.362 -1.022 4.938
4.894 0.716 4.471
! DFT total energy = -4.4 eV per cell
! D(E_F) = 4.64 states/eV/cell
! calculated formation energy = 0.648 eV/atom
! magnetization = 0.000 μB/atom


No. 2
! Al2NiP6 | the Alexandria database | GGA-PBEsol | relaxed; values from VASP
&SYSTEM
  ibrav = 0, nat = 9, ntyp = 3
/
ATOMIC_SPECIES
Al 26.98 Al.upf
Ni 58.69 Ni.upf
P 30.97 P.upf
ATOMIC_POSITIONS crystal
Al 0.000 0.667 0.333
Al 0.000 0.333 0.667
Ni 0.500 0.000 0.000
P 0.000 0.738 0.738
P 0.000 0.000 0.262
P 0.000 0.262 0.000
P 0.500 0.487 0.487
P 0.500 0.000 0.513
P 0.500 0.513 0.000
CELL_PARAMETERS angstrom
3.101 0.000 0.000
0.000 6.983 0.000
0.000 -3.492 6.048
! DFT total energy = -48.4 eV per cell
! D(E_F) = 3.13 states/eV/cell
! calculated formation energy = 0.079 eV/atom
! magnetization = 0.000 μB/atom


No. 3
! Tc2NiPIr | the Alexandria database | GGA-PBEsol | relaxed; values from VASP
&SYSTEM
  ibrav = 0, nat = 5, ntyp = 4
/
ATOMIC_SPECIES
Ni 58.69 Ni.upf
Ir 192.22 Ir.upf
Tc 98.00 Tc.upf
P 30.97 P.upf
ATOMIC_POSITIONS crystal
Ni 0.000 0.000 0.000
Ir 0.000 0.000 0.500
Tc 0.000 0.500 0.000
Tc 0.500 0.000 0.000
P 0.500 0.500 0.500
CELL_PARAMETERS angstrom
4.284 0.000 0.000
0.000 4.284 0.000
0.000 0.000 4.482
! DFT total energy = -35.9 eV per cell
! D(E_F) = 7.87 states/eV/cell
! calculated formation energy = 1.684 eV/atom
! magnetization = 0.230 μB/atom


No. 4
! YCdHg2 | the Alexandria database | GGA-PBEsol | relaxed; values from VASP
&SYSTEM
  ibrav = 0, nat = 4, ntyp = 3
/
ATOMIC_SPECIES
Y 88.91 Y.upf
Hg 200.59 Hg.upf
Cd 112.41 Cd.upf
ATOMIC_POSITIONS crystal
Y 0.500 0.500 0.500
Hg 0.000 0.000 0.500
Hg 0.000 0.500 0.000
Cd 0.500 0.000 0.000
CELL_PARAMETERS angstrom
4.130 0.000 0.000
0.000 4.688 0.000
0.000 0.000 4.688
! DFT total energy = -10.8 eV per cell
! D(E_F) = 2.33 states/eV/cell
! calculated formation energy = -0.407 eV/atom
! magnetization = 0.000 μB/atom


No. 5
! Co2Bi2Cl | the Alexandria database | GGA-PBEsol | relaxed; values from VASP
&SYSTEM
  ibrav = 0, nat = 10, ntyp = 3
/
ATOMIC_SPECIES
Co 58.93 Co.upf
Bi 208.98 Bi.upf
Cl 35.45 Cl.upf
ATOMIC_POSITIONS crystal
Co 0.500 0.096 0.596
Co 0.500 0.596 0.904
Co 0.500 0.904 0.404
Co 0.500 0.404 0.096
Bi 0.000 0.317 0.817
Bi 0.000 0.817 0.683
Bi 0.000 0.683 0.183
Bi 0.000 0.183 0.317
Cl 0.000 0.000 0.000
Cl 0.000 0.500 0.500
CELL_PARAMETERS angstrom
-1.849 1.249 -2.287
-5.745 1.307 5.359
3.030 7.213 1.490
! DFT total energy = -48.3 eV per cell
! D(E_F) = 12.80 states/eV/cell
! uncorrected formation energy = 0.381 eV/atom
! magnetization = 0.505 μB/atom


No. 6
! CrRe3Mo | the Alexandria database | GGA-PBEsol | relaxed; values from VASP
&SYSTEM
  ibrav = 0, nat = 5, ntyp = 3
/
ATOMIC_SPECIES
Re 186.21 Re.upf
Mo 95.94 Mo.upf
Cr 52.00 Cr.upf
ATOMIC_POSITIONS crystal
Re 0.000 0.500 0.000
Re 0.000 0.000 0.500
Re 0.500 0.000 0.000
Mo 0.000 0.000 0.000
Cr 0.500 0.500 0.500
CELL_PARAMETERS angstrom
4.604 0.000 0.000
0.000 4.604 0.000
0.000 0.000 4.604
! DFT total energy = -50.1 eV per cell
! D(E_F) = 5.52 states/eV/cell
! calculated formation energy = 2.388 eV/atom
! magnetization = 0.432 μB/atom


No. 7
! YSc2Tl | the Alexandria database | GGA-PBEsol | relaxed; values from VASP
&SYSTEM
  ibrav = 0, nat = 4, ntyp = 3
/
ATOMIC_SPECIES
Y 88.91 Y.upf
Sc 44.96 Sc.upf
Tl 204.38 Tl.upf
ATOMIC_POSITIONS crystal
Y 0.768 0.268 0.537
Sc 0.997 0.997 0.994
Sc 0.227 0.727 0.454
Tl 0.508 0.508 0.016
CELL_PARAMETERS angstrom
-0.049 -0.948 3.653
-1.286 -4.581 -1.206
5.781 1.403 -1.507
! DFT total energy = -23.4 eV per cell
! D(E_F) = 3.44 states/eV/cell
! calculated formation energy = -0.192 eV/atom
! magnetization = 0.000 μB/atom
! ΔE to the lowest computed polymorph = 0.19 eV per formula unit


No. 8
! Li2LaTa | the Alexandria database | GGA-PBEsol | relaxed; values from VASP
&SYSTEM
  ibrav = 0, nat = 4, ntyp = 3
/
ATOMIC_SPECIES
La 138.91 La.upf
Li 6.94 Li.upf
Ta 180.95 Ta.upf
ATOMIC_POSITIONS crystal
La 0.000 0.500 0.000
Li 0.233 0.204 0.467
Li 0.767 0.796 0.533
Ta 0.500 0.000 0.000
CELL_PARAMETERS angstrom
3.045 0.000 0.000
0.000 5.148 -0.058
-1.522 -1.072 5.474
! DFT total energy = -20.0 eV per cell
! D(E_F) = 3.52 states/eV/cell
! calculated formation energy = 0.458 eV/atom
! magnetization = 0.000 μB/atom
! ΔE to the lowest computed polymorph = 0.00 eV per formula unit


No. 9
! CaTe2Ru | the Alexandria database | GGA-PBEsol | relaxed; values from VASP
&SYSTEM
  ibrav = 0, nat = 4, ntyp = 3
/
ATOMIC_SPECIES
Ru 101.07 Ru.upf
Ca 40.08 Ca.upf
Te 127.60 Te.upf
ATOMIC_POSITIONS crystal
Ru 0.500 0.500 0.828
Ca 0.000 0.000 0.457
Te 0.000 0.000 0.936
Te 0.500 0.500 0.279
CELL_PARAMETERS angstrom
3.877 0.000 0.000
0.000 3.877 0.000
0.000 0.000 6.112
! DFT total energy = -20.4 eV per cell
! D(E_F) = 4.20 states/eV/cell
! uncorrected formation energy = -0.271 eV/atom
! magnetization = 0.006 μB/atom
! ΔE to the lowest computed polymorph = 0.33 eV per formula unit


No. 10
! Li2TiNi2O5 | the Alexandria database | GGA-PBEsol | relaxed; values from VASP
&SYSTEM
  ibrav = 0, nat = 20, ntyp = 4
/
ATOMIC_SPECIES
Li 6.94 Li.upf
Ti 47.87 Ti.upf
Ni 58.69 Ni.upf
O 16.00 O.upf
ATOMIC_POSITIONS crystal
Li 0.800 0.500 0.399
Li 0.699 0.000 0.602
Li 0.200 0.500 0.601
Li 0.504 0.000 0.993
Ti 0.604 0.500 0.792
Ti 0.304 0.000 0.392
Ni 0.897 0.000 0.206
Ni 0.000 0.500 0.001
Ni 0.395 0.500 0.210
Ni 0.103 0.000 0.795
O 0.452 0.750 0.601
O 0.151 0.246 0.208
O 0.062 0.762 0.397
O 0.357 0.265 0.803
O 0.252 0.746 0.997
O 0.641 0.754 0.208
O 0.840 0.735 0.803
O 0.947 0.250 0.601
O 0.541 0.238 0.397
O 0.751 0.254 0.997
CELL_PARAMETERS angstrom
-0.040 -4.880 0.978
4.436 -1.996 -1.240
2.432 -1.125 7.147
! DFT total energy = -137.2 eV per cell
! D(E_F) = 3.45 states/eV/cell
! uncorrected formation energy = -1.779 eV/atom
! magnetization = 0.339 μB/atom
! ΔE to the lowest computed polymorph = 0.04 eV per formula unit


No. 11
! ScTlRh2 | the Alexandria database | GGA-PBEsol | relaxed; values from VASP
&SYSTEM
  ibrav = 0, nat = 4, ntyp = 3
/
ATOMIC_SPECIES
Rh 102.91 Rh.upf
Sc 44.96 Sc.upf
Tl 204.38 Tl.upf
ATOMIC_POSITIONS crystal
Rh 0.000 0.000 0.991
Rh 0.500 0.500 0.274
Sc 0.000 0.000 0.458
Tl 0.500 0.500 0.778
CELL_PARAMETERS angstrom
-1.013 2.775 -0.791
-3.154 -0.449 2.464
2.883 2.219 4.094
! DFT total energy = -26.9 eV per cell
! D(E_F) = 1.55 states/eV/cell
! calculated formation energy = -0.359 eV/atom
! magnetization = 0.000 μB/atom
! ΔE to the lowest computed polymorph = 0.94 eV per formula unit


No. 12
! SrSbAs | the Alexandria database | GGA-PBEsol | relaxed; values from VASP
&SYSTEM
  ibrav = 0, nat = 6, ntyp = 3
/
ATOMIC_SPECIES
Sb 121.76 Sb.upf
As 74.92 As.upf
Sr 87.62 Sr.upf
ATOMIC_POSITIONS crystal
Sb 0.750 0.220 0.489
Sb 0.250 0.780 0.511
As 0.750 0.966 0.923
As 0.250 0.034 0.077
Sr 0.750 0.591 0.198
Sr 0.250 0.409 0.802
CELL_PARAMETERS angstrom
-4.165 -0.682 0.504
0.853 -2.701 3.394
-0.844 8.165 4.067
! DFT total energy = -27.5 eV per cell
! D(E_F) = 2.08 states/eV/cell
! uncorrected formation energy = -0.754 eV/atom
! magnetization = 0.000 μB/atom
! ΔE to the lowest computed polymorph = 0.00 eV per formula unit


No. 13
! TcP3 | the Alexandria database | GGA-PBEsol | relaxed; values from VASP
&SYSTEM
  ibrav = 0, nat = 4, ntyp = 2
/
ATOMIC_SPECIES
P 30.97 P.upf
Tc 98.00 Tc.upf
ATOMIC_POSITIONS crystal
P 0.215 0.305 0.000
P 0.500 0.000 0.500
P 0.785 0.695 0.000
Tc 0.000 0.500 0.500
CELL_PARAMETERS angstrom
-2.953 -1.055 -0.777
2.051 -3.304 -0.722
-0.645 -1.331 4.257
! DFT total energy = -28.5 eV per cell
! D(E_F) = 1.87 states/eV/cell
! calculated formation energy = 0.025 eV/atom
! magnetization = 0.000 μB/atom
! ΔE to the lowest computed polymorph = 2.12 eV per formula unit


No. 14
! Mn2BePt | the Alexandria database | GGA-PBEsol | relaxed; values from VASP
&SYSTEM
  ibrav = 0, nat = 4, ntyp = 3
/
ATOMIC_SPECIES
Be 9.01 Be.upf
Mn 54.94 Mn.upf
Pt 195.08 Pt.upf
ATOMIC_POSITIONS crystal
Be 0.500 0.500 0.500
Mn 0.000 0.000 0.711
Mn 0.000 0.000 0.289
Pt 0.500 0.500 0.000
CELL_PARAMETERS angstrom
-1.514 -1.647 1.293
-0.177 -2.182 -2.986
3.776 -2.317 1.470
! DFT total energy = -30.9 eV per cell
! D(E_F) = 3.82 states/eV/cell
! calculated formation energy = -0.102 eV/atom
! magnetization = 0.269 μB/atom


No. 15
! Al3AgAs | the Alexandria database | GGA-PBEsol | relaxed; values from VASP
&SYSTEM
  ibrav = 0, nat = 5, ntyp = 3
/
ATOMIC_SPECIES
As 74.92 As.upf
Al 26.98 Al.upf
Ag 107.87 Ag.upf
ATOMIC_POSITIONS crystal
As 0.000 0.000 0.000
Al 0.000 0.500 0.000
Al 0.000 0.000 0.500
Al 0.500 0.000 0.000
Ag 0.500 0.500 0.500
CELL_PARAMETERS angstrom
-2.579 0.493 4.053
-3.926 -1.617 -2.301
1.123 -4.523 1.264
! DFT total energy = -17.3 eV per cell
! D(E_F) = 2.63 states/eV/cell
! calculated formation energy = 0.686 eV/atom
! magnetization = 0.000 μB/atom


No. 16
! TcP4H36C12Br2 | the Alexandria database | GGA-PBEsol | relaxed; values from VASP
&SYSTEM
  ibrav = 0, nat = 55, ntyp = 5
/
ATOMIC_SPECIES
Tc 98.00 Tc.upf
P 30.97 P.upf
H 1.01 H.upf
C 12.01 C.upf
Br 79.90 Br.upf
ATOMIC_POSITIONS crystal
Tc 0.000 0.000 0.000
P 0.350 0.205 0.795
P 0.650 0.854 0.146
P 0.000 0.146 0.205
P 0.000 0.795 0.854
H 0.366 0.477 0.731
H 0.634 0.903 0.888
H 0.208 0.097 0.269
H 0.792 0.523 0.112
H 0.792 0.888 0.477
H 0.208 0.731 0.903
H 0.366 0.269 0.523
H 0.634 0.112 0.097
H 0.435 0.462 0.885
H 0.565 0.680 0.973
H 0.347 0.320 0.115
H 0.653 0.538 0.027
H 0.653 0.973 0.462
H 0.347 0.885 0.680
H 0.435 0.115 0.538
H 0.565 0.027 0.320
H 0.609 0.525 0.652
H 0.391 0.739 0.084
H 0.177 0.261 0.348
H 0.823 0.475 0.916
H 0.823 0.084 0.525
H 0.177 0.652 0.739
H 0.609 0.348 0.475
H 0.391 0.916 0.261
H 0.490 0.171 0.960
H 0.510 0.549 0.319
H 0.131 0.451 0.040
H 0.869 0.829 0.681
H 0.869 0.319 0.171
H 0.131 0.960 0.549
H 0.490 0.040 0.829
H 0.510 0.681 0.451
H 0.676 0.276 0.724
H 0.324 0.600 0.400
H 0.000 0.400 0.276
H 0.000 0.724 0.600
C 0.451 0.440 0.763
C 0.549 0.786 0.011
C 0.203 0.214 0.237
C 0.797 0.560 0.989
C 0.797 0.011 0.440
C 0.203 0.763 0.786
C 0.451 0.237 0.560
C 0.549 0.989 0.214
C 0.519 0.171 0.829
C 0.481 0.652 0.348
C 0.000 0.348 0.171
C 0.000 0.829 0.652
Br 0.000 0.211 0.789
Br 0.000 0.789 0.211
CELL_PARAMETERS angstrom
9.065 0.093 -0.136
-4.133 8.069 0.136
4.133 3.073 7.462
! DFT total energy = -284.3 eV per cell
! D(E_F) = 6.52 states/eV/cell
! magnetization = 0.018 μB/atom


No. 17
! Te2PPbI | the Alexandria database | GGA-PBEsol | relaxed; values from VASP
&SYSTEM
  ibrav = 0, nat = 5, ntyp = 4
/
ATOMIC_SPECIES
Pb 207.20 Pb.upf
I 126.90 I.upf
Te 127.60 Te.upf
P 30.97 P.upf
ATOMIC_POSITIONS crystal
Pb 0.000 0.000 0.000
I 0.000 0.000 0.500
Te 0.000 0.500 0.000
Te 0.500 0.000 0.000
P 0.500 0.500 0.500
CELL_PARAMETERS angstrom
-3.759 3.864 2.148
-4.285 -2.491 -3.017
-1.113 -3.623 4.571
! DFT total energy = -13.4 eV per cell
! D(E_F) = 5.77 states/eV/cell
! uncorrected formation energy = 1.034 eV/atom
! magnetization = 0.278 μB/atom


No. 18
! LiLa3Hg | the Alexandria database | GGA-PBEsol | relaxed; values from VASP
&SYSTEM
  ibrav = 0, nat = 5, ntyp = 3
/
ATOMIC_SPECIES
Li 6.94 Li.upf
Hg 200.59 Hg.upf
La 138.91 La.upf
ATOMIC_POSITIONS crystal
Li 0.500 0.500 0.500
Hg 0.000 0.000 0.000
La 0.000 0.500 0.000
La 0.000 0.000 0.500
La 0.500 0.000 0.000
CELL_PARAMETERS angstrom
5.946 0.000 0.000
0.000 5.946 0.000
0.000 0.000 5.946
! DFT total energy = -17.0 eV per cell
! D(E_F) = 11.16 states/eV/cell
! calculated formation energy = 0.314 eV/atom
! magnetization = 0.007 μB/atom


No. 19
! Rb3NbS4 | the Alexandria database | GGA-PBEsol | relaxed; values from VASP
&SYSTEM
  ibrav = 0, nat = 32, ntyp = 3
/
ATOMIC_SPECIES
Rb 85.47 Rb.upf
Nb 92.91 Nb.upf
S 32.06 S.upf
ATOMIC_POSITIONS crystal
Rb 0.947 0.710 0.543
Rb 0.141 0.080 0.750
Rb 0.859 0.920 0.250
Rb 0.359 0.580 0.250
Rb 0.053 0.290 0.457
Rb 0.553 0.210 0.043
Rb 0.447 0.790 0.543
Rb 0.947 0.710 0.957
Rb 0.053 0.290 0.043
Rb 0.447 0.790 0.957
Rb 0.553 0.210 0.457
Rb 0.641 0.420 0.750
Nb 0.720 0.986 0.750
Nb 0.220 0.514 0.750
Nb 0.780 0.486 0.250
Nb 0.280 0.014 0.250
S 0.699 0.750 0.750
S 0.199 0.750 0.750
S 0.801 0.250 0.250
S 0.301 0.250 0.250
S 0.000 0.418 0.750
S 0.500 0.082 0.750
S 0.500 0.918 0.250
S 0.000 0.582 0.250
S 0.163 0.949 0.077
S 0.663 0.551 0.423
S 0.337 0.449 0.923
S 0.837 0.051 0.577
S 0.837 0.051 0.923
S 0.163 0.949 0.423
S 0.663 0.551 0.077
S 0.337 0.449 0.577
CELL_PARAMETERS angstrom
-8.626 -1.008 -3.889
-0.940 -8.575 4.307
-4.484 4.855 8.688
! DFT total energy = -164.8 eV per cell
! D(E_F) = 0.00 states/eV/cell
! uncorrected formation energy = -1.222 eV/atom
! magnetization = 0.000 μB/atom


No. 20
! RbIn2TcPt | the Alexandria database | GGA-PBEsol | relaxed; values from VASP
&SYSTEM
  ibrav = 0, nat = 5, ntyp = 4
/
ATOMIC_SPECIES
Rb 85.47 Rb.upf
Tc 98.00 Tc.upf
Pt 195.08 Pt.upf
In 114.82 In.upf
ATOMIC_POSITIONS crystal
Rb 0.000 0.000 0.000
Tc 0.500 0.500 0.500
Pt 0.500 0.000 0.000
In 0.000 0.000 0.500
In 0.000 0.500 0.000
CELL_PARAMETERS angstrom
-4.235 2.131 -1.681
-2.267 -0.382 5.228
2.087 5.159 1.282
! DFT total energy = -13.9 eV per cell
! D(E_F) = 4.40 states/eV/cell
! calculated formation energy = 2.269 eV/atom
! magnetization = 0.803 μB/atom